#a
A relaxed Cd2InPd6 crystal, computed with PBE-GGA.

Output
- Space group: P2/m

Cell and atoms, written as POSCAR:
```
Cd2InPd6
1.0
7.075 0.000 0.000
0.000 3.057 0.000
-3.519 0.000 7.457
Cd In Pd
2 1 6
Direct
0.221 0.000 0.445
0.779 0.000 0.555
0.000 0.500 0.000
0.141 0.500 0.696
0.313 0.000 0.002
0.446 0.500 0.306
0.554 0.500 0.694
0.687 0.000 0.998
0.859 0.500 0.304
```

#b
A relaxed Cd2InPd6 crystal, computed with PBE-GGA.

Output
- Space group: C2/m

Cell and atoms, written as POSCAR:
```
Cd2InPd6
1.0
3.845 -2.358 0.000
3.845 2.358 0.000
-0.811 0.000 8.382
Cd In Pd
2 1 6
Direct
0.158 0.158 0.262
0.842 0.842 0.738
0.500 0.500 0.500
0.172 0.172 0.604
0.172 0.172 0.942
0.493 0.493 0.167
0.507 0.507 0.833
0.828 0.828 0.058
0.828 0.828 0.396
```

Least stable structure: #a

#a
A relaxed Cd2In2Pd3 crystal, computed with PBE-GGA.

Output
- Space group: P-1

Cell and atoms, written as POSCAR:
```
Cd2In2Pd3
1.0
4.548 0.000 0.000
-0.037 4.642 0.000
-2.254 -2.311 6.517
Cd In Pd
2 2 3
Direct
0.118 0.118 0.236
0.882 0.882 0.764
0.376 0.375 0.753
0.624 0.625 0.247
0.000 0.500 0.000
0.244 0.744 0.488
0.756 0.256 0.512
```

#b
A relaxed Cd2In2Pd3 crystal, computed with PBE-GGA.

Output
- Space group: P-1

Cell and atoms, written as POSCAR:
```
Cd2In2Pd3
1.0
4.594 0.000 0.000
-2.297 3.997 0.000
-2.284 -1.337 7.410
Cd In Pd
2 2 3
Direct
0.237 0.368 0.105
0.763 0.632 0.895
0.268 0.884 0.652
0.732 0.116 0.348
0.015 0.757 0.273
0.500 0.500 0.500
0.985 0.243 0.727
```

Least stable structure: #a